No. 1
The following is a DFT calculation (meta-GGA SCAN) of TaCuS2 at its PBEsol-relaxed geometry.

The structure in extended XYZ format:
```
8
Lattice="3.326 0.000 0.000 -1.663 2.881 0.000 0.000 0.000 13.150" Properties=species:S:1:pos:R:3 pbc="T T T"
Cu 1.663 0.960 7.054
Cu 0.000 1.921 0.479
Ta 1.663 0.960 9.916
Ta 0.000 1.921 3.341
S 0.000 1.921 8.318
S 1.663 0.960 4.879
S 1.663 0.960 1.743
S 0.000 1.921 11.454
```

Computed properties:
E above lowest polymorph (eV per atom): 0.0000
Symmetry: No. 186
Spin magnetization (μB per formula unit): 0.000
Formation energy from raw total energies (kJ/mol of atoms): -82.3
Density (kg/m3): 8133

No. 2
The following is a DFT calculation (meta-GGA SCAN) of Ta2Tl3Cu3S8 at its PBEsol-relaxed geometry.

The structure in extended XYZ format:
```
16
Lattice="5.476 0.000 0.000 0.000 7.214 0.016 -2.738 -1.056 9.566" Properties=species:S:1:pos:R:3 pbc="T T T"
Tl 5.328 0.000 0.000
Tl 2.806 1.128 3.551
Tl 0.068 5.031 6.030
Cu -1.483 1.522 7.176
Cu 4.006 3.607 0.008
Cu 1.255 4.637 2.405
S 2.688 -0.232 6.443
S -0.203 2.942 1.815
S 2.694 5.368 0.725
S 2.535 3.217 7.766
S -0.141 2.072 5.391
S 2.597 4.087 4.190
S -0.050 6.391 3.138
S -0.044 0.791 8.856
Ta 3.992 4.721 2.512
Ta 1.254 1.438 7.070
```

Computed properties:
Symmetry: No. 5
Spin magnetization (μB per formula unit): 0.000
Formation energy from raw total energies (kJ/mol of atoms): -71.9
Density (kg/m3): 6248

No. 3
The following is a DFT calculation (meta-GGA SCAN) of CuTeS2 at its PBEsol-relaxed geometry.

The structure in extended XYZ format:
```
4
Lattice="3.489 0.000 0.000 1.744 3.021 0.000 1.744 1.007 7.568" Properties=species:S:1:pos:R:3 pbc="T T T"
S 1.744 1.007 5.011
S 5.233 3.021 2.557
Cu 3.489 2.014 3.784
Te 0.000 0.000 0.000
```

Computed properties:
Symmetry: No. 166
Spin magnetization (μB per formula unit): 0.000
Formation energy from raw total energies (kJ/mol of atoms): 1.1
Density (kg/m3): 5315

No. 4
The following is a DFT calculation (meta-GGA SCAN) of CuTe2S at its PBEsol-relaxed geometry.

The structure in extended XYZ format:
```
4
Lattice="-2.152 1.302 2.293 -1.939 -2.070 1.882 5.124 -0.614 7.685" Properties=species:S:1:pos:R:3 pbc="T T T"
S 0.516 -0.691 5.930
Cu 0.000 0.000 0.000
Te 3.350 -0.516 5.964
Te -2.317 -0.866 5.896
```

Computed properties:
E above lowest polymorph (eV per atom): 0.0083
Symmetry: No. 166
Spin magnetization (μB per formula unit): 0.000
Formation energy from raw total energies (kJ/mol of atoms): 53.7
Density (kg/m3): 6417

No. 5
The following is a DFT calculation (meta-GGA SCAN) of CuTe2S at its PBEsol-relaxed geometry.

The structure in extended XYZ format:
```
4
Lattice="-0.374 -4.580 -1.401 -1.052 -3.416 3.211 -4.300 -2.140 -0.091" Properties=species:S:1:pos:R:3 pbc="T T T"
Cu -2.863 -5.068 0.859
Te -4.295 -7.602 1.289
Te -1.432 -2.534 0.430
S 0.000 0.000 0.000
```

Computed properties:
E above lowest polymorph (eV per atom): 0.0000
Symmetry: No. 225
Spin magnetization (μB per formula unit): 0.000
Formation energy from raw total energies (kJ/mol of atoms): 52.9
Density (kg/m3): 7429

No. 6
The following is a DFT calculation (meta-GGA SCAN) of Cu2TeS2 at its PBEsol-relaxed geometry.

The structure in extended XYZ format:
```
5
Lattice="-2.435 2.786 -2.628 -3.565 -0.509 2.762 4.262 2.057 2.151" Properties=species:S:1:pos:R:3 pbc="T T T"
S -0.586 2.991 -0.205
S -1.151 1.343 2.490
Cu 0.849 2.150 1.492
Cu -2.587 2.184 0.793
Te 0.000 0.000 0.000
```

Computed properties:
Symmetry: No. 139
Spin magnetization (μB per formula unit): 0.000
Formation energy from raw total energies (kJ/mol of atoms): 34.1
Density (kg/m3): 6285

Q: Among the records above, which one has the highest density?
A: TaCuS2

Q: Look up the density of the third one.
A: 5315 kg/m3

Q: Among the records above, which one has the lowest formation energy from raw total energies?
A: TaCuS2